Below is a relaxed NdPuSc2O8 crystal, with properties calculated at the PBE-GGA level.

Geometry as CIF:
```
data_NdPuSc2O8
_chemical_formula_sum 'Nd2 Pu2 Sc4 O16'
_cell_length_a 6.904
_cell_length_b 7.102
_cell_length_c 6.939
_cell_angle_alpha 90.00
_cell_angle_beta 90.00
_cell_angle_gamma 90.00
_space_group_name_H-M_alt 'C m m m'
_space_group_IT_number 65
_space_group_name_Hall '-C 2 2'
loop_
_atom_site_label
_atom_site_type_symbol
_atom_site_fract_x
_atom_site_fract_y
_atom_site_fract_z
Nd1 Nd 0.000 0.000 0.000
Pu1 Pu 0.000 0.000 0.500
Sc1 Sc 0.000 0.500 0.229
O1 O 0.000 0.277 0.500
O2 O 0.000 0.324 0.000
O3 O 0.199 0.000 0.281
```

Summary:
* ΔE_f (raw): -2.9841 eV per atom

=====

Below is a relaxed TmAlGa2 crystal, with properties calculated at the PBE-GGA level.

Geometry as CIF:
```
data_TmAlGa2
_chemical_formula_sum 'Tm1 Al1 Ga2'
_cell_length_a 3.499
_cell_length_b 3.499
_cell_length_c 6.421
_cell_angle_alpha 90.00
_cell_angle_beta 90.00
_cell_angle_gamma 90.00
_space_group_name_H-M_alt 'P 4/m m m'
_space_group_IT_number 123
_space_group_name_Hall '-P 4 2'
loop_
_atom_site_label
_atom_site_type_symbol
_atom_site_fract_x
_atom_site_fract_y
_atom_site_fract_z
Tm1 Tm 0.000 0.000 0.000
Al1 Al 0.000 0.000 0.500
Ga1 Ga 0.500 0.500 0.289
```

Summary:
* ΔE_f: -0.307 eV/atom

=====

Below is a relaxed CdIn2GaCo crystal, with properties calculated at the PBE-GGA level.

Geometry as CIF:
```
data_CdIn2GaCo
_chemical_formula_sum 'Cd1 In2 Ga1 Co1'
_cell_length_a 5.006
_cell_length_b 5.006
_cell_length_c 4.612
_cell_angle_alpha 90.00
_cell_angle_beta 90.00
_cell_angle_gamma 90.00
_space_group_name_H-M_alt 'P 4/m m m'
_space_group_IT_number 123
_space_group_name_Hall '-P 4 2'
loop_
_atom_site_label
_atom_site_type_symbol
_atom_site_fract_x
_atom_site_fract_y
_atom_site_fract_z
Cd1 Cd 0.000 0.000 0.000
In1 In 0.000 0.500 0.500
Ga1 Ga 0.500 0.500 0.000
Co1 Co 0.500 0.500 0.500
```

Summary:
* ΔE_f: 0.025 eV/atom

=====

Below is a relaxed BaTlOsO6 crystal, with properties calculated at the PBE-GGA level.

Geometry as CIF:
```
data_BaTlOsO6
_chemical_formula_sum 'Ba1 Tl1 Os1 O6'
_cell_length_a 5.003
_cell_length_b 5.635
_cell_length_c 5.852
_cell_angle_alpha 109.44
_cell_angle_beta 92.95
_cell_angle_gamma 102.88
_space_group_name_H-M_alt 'P 1'
_space_group_IT_number 1
loop_
_space_group_symop_operation_xyz
'x,y,z'
loop_
_atom_site_label
_atom_site_type_symbol
_atom_site_fract_x
_atom_site_fract_y
_atom_site_fract_z
Ba1 Ba 0.000 0.000 0.000
Tl1 Tl 0.658 0.252 0.583
Os1 Os 0.191 0.703 0.400
O1 O 0.005 0.963 0.478
O2 O 0.377 0.454 0.373
O3 O 0.420 0.871 0.230
O4 O 0.452 0.949 0.712
O5 O 0.927 0.492 0.140
O6 O 0.997 0.580 0.642
```

Summary:
* ΔE_f (raw): -1.2657 eV per atom

=====

Below is a relaxed Tb4PmTm10 crystal, with properties calculated at the PBE-GGA level.

Geometry as CIF:
```
data_Tb4PmTm10
_chemical_formula_sum 'Tb8 Pm2 Tm20'
_cell_length_a 9.719
_cell_length_b 9.719
_cell_length_c 10.707
_cell_angle_alpha 90.00
_cell_angle_beta 90.00
_cell_angle_gamma 90.00
_space_group_name_H-M_alt 'I 4/m'
_space_group_IT_number 87
_space_group_name_Hall '-I 4'
loop_
_atom_site_label
_atom_site_type_symbol
_atom_site_fract_x
_atom_site_fract_y
_atom_site_fract_z
Tb1 Tb 0.055 0.291 0.000
Pm1 Pm 0.000 0.000 0.500
Tm1 Tm 0.000 0.500 0.250
Tm2 Tm 0.122 0.219 0.332
```

Summary:
* ΔE_f: 0.481 eV/atom

=====

Below is a relaxed Zn2OsRu crystal, with properties calculated at the PBE-GGA level.

Geometry as CIF:
```
data_Zn2OsRu
_chemical_formula_sum 'Zn6 Os3 Ru3'
_cell_length_a 2.7472
_cell_length_b 2.7472
_cell_length_c 25.9101
_cell_angle_alpha 90.00
_cell_angle_beta 90.00
_cell_angle_gamma 120.00
_space_group_name_H-M_alt 'R -3 m'
_space_group_IT_number 166
_space_group_name_Hall '-R 3 2"'
loop_
_atom_site_label
_atom_site_type_symbol
_atom_site_fract_x
_atom_site_fract_y
_atom_site_fract_z
Zn1 Zn 0.0000 0.0000 0.2493
Os1 Os 0.0000 0.0000 0.0000
Ru1 Ru 0.0000 0.0000 0.5000
```

Summary:
* polymorph energy (0 for the lowest one): 138 meV/atom
* ΔE_f: 0.141 eV/atom

=====

Below is a relaxed LiPrLuMg crystal, with properties calculated at the PBE-GGA level.

Geometry as CIF:
```
data_LiPrLuMg
_chemical_formula_sum 'Li4 Pr4 Lu4 Mg4'
_cell_length_a 7.588
_cell_length_b 7.588
_cell_length_c 7.588
_cell_angle_alpha 90.00
_cell_angle_beta 90.00
_cell_angle_gamma 90.00
_space_group_name_H-M_alt 'F -4 3 m'
_space_group_IT_number 216
_space_group_name_Hall 'F -4 2 3'
loop_
_atom_site_label
_atom_site_type_symbol
_atom_site_fract_x
_atom_site_fract_y
_atom_site_fract_z
Li1 Li 0.000 0.000 0.000
Pr1 Pr 0.250 0.250 0.750
Lu1 Lu 0.250 0.250 0.250
Mg1 Mg 0.000 0.000 0.500
```

Summary:
* ΔE_f: 0.035 eV/atom

=====

Below is a relaxed NaTbNdGa crystal, with properties calculated at the PBE-GGA level.

Geometry as CIF:
```
data_NaTbNdGa
_chemical_formula_sum 'Na4 Tb4 Nd4 Ga4'
_cell_length_a 7.521
_cell_length_b 7.521
_cell_length_c 7.521
_cell_angle_alpha 90.00
_cell_angle_beta 90.00
_cell_angle_gamma 90.00
_space_group_name_H-M_alt 'F -4 3 m'
_space_group_IT_number 216
_space_group_name_Hall 'F -4 2 3'
loop_
_atom_site_label
_atom_site_type_symbol
_atom_site_fract_x
_atom_site_fract_y
_atom_site_fract_z
Na1 Na 0.000 0.000 0.000
Tb1 Tb 0.250 0.250 0.250
Nd1 Nd 0.250 0.250 0.750
Ga1 Ga 0.000 0.000 0.500
```

Summary:
* ΔE_f: -0.134 eV/atom

=====

Below is a relaxed Mo2RuW crystal, with properties calculated at the PBE-GGA level.

Geometry as CIF:
```
data_Mo2RuW
_chemical_formula_sum 'Mo2 Ru1 W1'
_cell_length_a 3.123
_cell_length_b 4.434
_cell_length_c 4.482
_cell_angle_alpha 90.00
_cell_angle_beta 90.00
_cell_angle_gamma 90.00
_space_group_name_H-M_alt 'P m m m'
_space_group_IT_number 47
loop_
_space_group_symop_operation_xyz
'x,y,z'
'-x,-y,-z'
'-x,-y,z'
'x,y,-z'
'x,-y,-z'
'-x,y,z'
'-x,y,-z'
'x,-y,z'
loop_
_atom_site_label
_atom_site_type_symbol
_atom_site_fract_x
_atom_site_fract_y
_atom_site_fract_z
Mo1 Mo 0.000 0.000 0.000
Mo2 Mo 0.500 0.500 0.000
Ru1 Ru 0.000 0.500 0.500
W1 W 0.500 0.000 0.500
```

Summary:
* polymorph energy (0 for the lowest one): 36 meV/atom
* ΔE_f: 0.145 eV/atom

=====

Below is a relaxed Ga2CoS4 crystal, with properties calculated at the PBE-GGA level.

Geometry as CIF:
```
data_Ga2CoS4
_chemical_formula_sum 'Ga4 Co2 S8'
_cell_length_a 5.288
_cell_length_b 5.288
_cell_length_c 10.505
_cell_angle_alpha 90.00
_cell_angle_beta 90.00
_cell_angle_gamma 90.00
_space_group_name_H-M_alt 'I -4'
_space_group_IT_number 82
loop_
_space_group_symop_operation_xyz
'x,y,z'
'y,-x,-z'
'-x,-y,z'
'-y,x,-z'
'x+1/2,y+1/2,z+1/2'
'y+1/2,-x+1/2,-z+1/2'
'-x+1/2,-y+1/2,z+1/2'
'-y+1/2,x+1/2,-z+1/2'
loop_
_atom_site_label
_atom_site_type_symbol
_atom_site_fract_x
_atom_site_fract_y
_atom_site_fract_z
Ga1 Ga 0.000 0.000 0.000
Ga2 Ga 0.000 0.500 0.250
Co1 Co 0.000 0.000 0.500
S1 S 0.240 0.252 0.627
```

Summary:
* ΔE_f (raw): -0.5226 eV per atom

=====

Below is a relaxed TbPrCuPt crystal, with properties calculated at the PBE-GGA level.

Geometry as CIF:
```
data_TbPrCuPt
_chemical_formula_sum 'Tb4 Pr4 Cu4 Pt4'
_cell_length_a 7.135
_cell_length_b 7.135
_cell_length_c 7.135
_cell_angle_alpha 90.00
_cell_angle_beta 90.00
_cell_angle_gamma 90.00
_space_group_name_H-M_alt 'F -4 3 m'
_space_group_IT_number 216
_space_group_name_Hall 'F -4 2 3'
loop_
_atom_site_label
_atom_site_type_symbol
_atom_site_fract_x
_atom_site_fract_y
_atom_site_fract_z
Tb1 Tb 0.000 0.000 0.000
Pr1 Pr 0.000 0.000 0.500
Cu1 Cu 0.250 0.250 0.750
Pt1 Pt 0.250 0.250 0.250
```

Summary:
* polymorph energy (0 for the lowest one): 56 meV/atom
* ΔE_f: -0.660 eV/atom

=====

Below is a relaxed CaYHg3 crystal, with properties calculated at the PBE-GGA level.

Geometry as CIF:
```
data_CaYHg3
_chemical_formula_sum 'Ca4 Y4 Hg12'
_cell_length_a 3.706
_cell_length_b 29.222
_cell_length_c 4.906
_cell_angle_alpha 90.00
_cell_angle_beta 90.00
_cell_angle_gamma 90.00
_space_group_name_H-M_alt 'C m c m'
_space_group_IT_number 63
_space_group_name_Hall '-C 2c 2'
loop_
_atom_site_label
_atom_site_type_symbol
_atom_site_fract_x
_atom_site_fract_y
_atom_site_fract_z
Ca1 Ca 0.000 0.077 0.250
Y1 Y 0.000 0.210 0.750
Hg1 Hg 0.000 0.317 0.750
Hg2 Hg 0.000 0.377 0.250
Hg3 Hg 0.000 0.475 0.250
```

Summary:
* polymorph energy (0 for the lowest one): 0 meV/atom
* ΔE_f: -0.451 eV/atom

=====

Q: Which formula does entry 10 have?
A: Ga2CoS4